{"formula": "TbDy2Pd", "functional": "PBE", "state": "optimized geometry", "n_ef_per_ev_cell": 9.69, "volume_a3_per_atom": 27.1, "relative_energy_ev_per_atom": 0.020, "formation_enthalpy_0k_ev_per_atom": -0.452, "lattice": [[1.888, -6.136, 0.000], [1.888, 6.136, 0.000], [0.000, 0.000, 9.366]], "species": ["Tb", "Tb", "Dy", "Dy", "Dy", "Dy", "Pd", "Pd"], "fractional_positions": [[0.064, 0.936, 0.750], [0.936, 0.064, 0.250], [0.365, 0.635, 0.560], [0.365, 0.635, 0.940], [0.635, 0.365, 0.060], [0.635, 0.365, 0.440], [0.237, 0.763, 0.250], [0.763, 0.237, 0.750]]}

{"formula": "Tb5Dy12Pd3", "functional": "PBE", "state": "optimized geometry", "n_ef_per_ev_cell": 96.95, "volume_a3_per_atom": 36.1, "formation_enthalpy_0k_ev_per_atom": 0.654, "lattice": [[-8.970, 8.970, 8.970], [8.970, -8.970, 8.970], [8.970, 8.970, -8.970]], "species": ["Tb", "Tb", "Tb", "Tb", "Tb", "Tb", "Tb", "Tb", "Tb", "Tb", "Tb", "Tb", "Tb", "Tb", "Tb", "Tb", "Tb", "Tb", "Tb", "Tb", "Dy", "Dy", "Dy", "Dy", "Dy", "Dy", "Dy", "Dy", "Dy", "Dy", "Dy", "Dy", "Dy", "Dy", "Dy", "Dy", "Dy", "Dy", "Dy", "Dy", "Dy", "Dy", "Dy", "Dy", "Dy", "Dy", "Dy", "Dy", "Dy", "Dy", "Dy", "Dy", "Dy", "Dy", "Dy", "Dy", "Dy", "Dy", "Dy", "Dy", "Dy", "Dy", "Dy", "Dy", "Dy", "Dy", "Dy", "Dy", "Pd", "Pd", "Pd", "Pd", "Pd", "Pd", "Pd", "Pd", "Pd", "Pd", "Pd", "Pd"], "fractional_positions": [[0.000, 0.000, 0.000], [0.000, 0.000, 0.500], [0.000, 0.500, 0.000], [0.000, 0.500, 0.500], [0.125, 0.750, 0.875], [0.125, 0.875, 0.250], [0.250, 0.125, 0.875], [0.250, 0.625, 0.375], [0.375, 0.250, 0.625], [0.375, 0.625, 0.750], [0.500, 0.000, 0.000], [0.500, 0.000, 0.500], [0.500, 0.500, 0.000], [0.500, 0.500, 0.500], [0.625, 0.375, 0.250], [0.625, 0.750, 0.375], [0.750, 0.375, 0.625], [0.750, 0.875, 0.125], [0.875, 0.125, 0.750], [0.875, 0.250, 0.125], [0.043, 0.631, 0.391], [0.043, 0.911, 0.652], [0.089, 0.241, 0.131], [0.089, 0.348, 0.957], [0.109, 0.741, 0.652], [0.109, 0.869, 0.457], [0.131, 0.089, 0.241], [0.131, 0.543, 0.891], [0.152, 0.241, 0.609], [0.152, 0.411, 0.543], [0.241, 0.131, 0.089], [0.241, 0.609, 0.152], [0.259, 0.348, 0.891], [0.259, 0.411, 0.369], [0.348, 0.891, 0.259], [0.348, 0.957, 0.089], [0.369, 0.259, 0.411], [0.369, 0.609, 0.957], [0.391, 0.043, 0.631], [0.391, 0.848, 0.759], [0.411, 0.369, 0.259], [0.411, 0.543, 0.152], [0.457, 0.109, 0.869], [0.457, 0.848, 0.589], [0.543, 0.152, 0.411], [0.543, 0.891, 0.131], [0.589, 0.457, 0.848], [0.589, 0.631, 0.741], [0.609, 0.152, 0.241], [0.609, 0.957, 0.369], [0.631, 0.391, 0.043], [0.631, 0.741, 0.589], [0.652, 0.043, 0.911], [0.652, 0.109, 0.741], [0.741, 0.589, 0.631], [0.741, 0.652, 0.109], [0.759, 0.391, 0.848], [0.759, 0.869, 0.911], [0.848, 0.589, 0.457], [0.848, 0.759, 0.391], [0.869, 0.457, 0.109], [0.869, 0.911, 0.759], [0.891, 0.131, 0.543], [0.891, 0.259, 0.348], [0.911, 0.652, 0.043], [0.911, 0.759, 0.869], [0.957, 0.089, 0.348], [0.957, 0.369, 0.609], [0.125, 0.250, 0.375], [0.125, 0.375, 0.750], [0.250, 0.375, 0.125], [0.250, 0.875, 0.625], [0.375, 0.125, 0.250], [0.375, 0.750, 0.125], [0.625, 0.250, 0.875], [0.625, 0.875, 0.750], [0.750, 0.125, 0.375], [0.750, 0.625, 0.875], [0.875, 0.625, 0.250], [0.875, 0.750, 0.625]]}

{"formula": "TbDy3Pd4", "functional": "PBE", "state": "optimized geometry", "n_ef_per_ev_cell": 3.69, "volume_a3_per_atom": 21.6, "formation_enthalpy_0k_ev_per_atom": -0.884, "lattice": [[5.016, 0.000, 0.000], [0.000, 5.016, 0.000], [0.000, 0.000, 6.872]], "species": ["Tb", "Dy", "Dy", "Dy", "Pd", "Pd", "Pd", "Pd"], "fractional_positions": [[0.000, 0.000, 0.000], [0.000, 0.000, 0.500], [0.500, 0.500, 0.000], [0.500, 0.500, 0.500], [0.000, 0.500, 0.251], [0.000, 0.500, 0.749], [0.500, 0.000, 0.251], [0.500, 0.000, 0.749]]}

{"formula": "Tb2DyPd", "functional": "PBE", "state": "optimized geometry", "n_ef_per_ev_cell": 9.25, "volume_a3_per_atom": 27.3, "relative_energy_ev_per_atom": 0.020, "formation_enthalpy_0k_ev_per_atom": -0.447, "lattice": [[1.896, -6.105, 0.000], [1.896, 6.105, 0.000], [0.000, 0.000, 9.427]], "species": ["Tb", "Tb", "Tb", "Tb", "Dy", "Dy", "Pd", "Pd"], "fractional_positions": [[0.135, 0.865, 0.560], [0.135, 0.865, 0.940], [0.865, 0.135, 0.060], [0.865, 0.135, 0.440], [0.434, 0.566, 0.750], [0.566, 0.434, 0.250], [0.263, 0.737, 0.250], [0.737, 0.263, 0.750]]}

{"formula": "TbDy4Pd2", "functional": "PBE", "state": "optimized geometry", "n_ef_per_ev_cell": 17.07, "volume_a3_per_atom": 26.7, "formation_enthalpy_0k_ev_per_atom": -0.433, "lattice": [[7.825, 0.000, 0.000], [0.000, 6.379, 0.000], [-3.159, 0.000, 7.483]], "species": ["Tb", "Tb", "Dy", "Dy", "Dy", "Dy", "Dy", "Dy", "Dy", "Dy", "Pd", "Pd", "Pd", "Pd"], "fractional_positions": [[0.155, 0.250, 0.026], [0.845, 0.750, 0.974], [0.021, 0.250, 0.391], [0.245, 0.750, 0.349], [0.407, 0.005, 0.771], [0.407, 0.495, 0.771], [0.593, 0.505, 0.229], [0.593, 0.995, 0.229], [0.755, 0.250, 0.651], [0.979, 0.750, 0.609], [0.237, 0.750, 0.992], [0.382, 0.250, 0.419], [0.618, 0.750, 0.581], [0.763, 0.250, 0.008]]}

{"formula": "Tb2Dy3Pd2", "functional": "PBE", "state": "optimized geometry", "n_ef_per_ev_cell": 8.55, "volume_a3_per_atom": 26.7, "relative_energy_ev_per_atom": 0.000, "formation_enthalpy_0k_ev_per_atom": -0.523, "lattice": [[6.194, -1.861, 0.000], [6.194, 1.861, 0.000], [-4.085, 0.000, 8.100]], "species": ["Tb", "Tb", "Dy", "Dy", "Dy", "Pd", "Pd"], "fractional_positions": [[0.157, 0.157, 0.313], [0.843, 0.843, 0.687], [0.386, 0.386, 0.060], [0.500, 0.500, 0.500], [0.614, 0.614, 0.940], [0.170, 0.170, 0.736], [0.830, 0.830, 0.264]]}

{"formula": "TbDyPd6", "functional": "PBE", "state": "optimized geometry", "n_ef_per_ev_cell": 5.99, "volume_a3_per_atom": 17.6, "formation_enthalpy_0k_ev_per_atom": -0.868, "lattice": [[4.129, 0.000, 0.000], [0.000, 4.129, 0.000], [0.000, 0.000, 8.257]], "species": ["Tb", "Dy", "Pd", "Pd", "Pd", "Pd", "Pd", "Pd"], "fractional_positions": [[0.000, 0.000, 0.000], [0.000, 0.000, 0.500], [0.000, 0.500, 0.251], [0.000, 0.500, 0.749], [0.500, 0.000, 0.251], [0.500, 0.000, 0.749], [0.500, 0.500, 0.000], [0.500, 0.500, 0.500]]}

{"formula": "TbDyPd3", "functional": "PBE", "state": "optimized geometry", "n_ef_per_ev_cell": 12.54, "volume_a3_per_atom": 20.8, "formation_enthalpy_0k_ev_per_atom": -0.844, "lattice": [[8.473, 0.000, 0.000], [0.000, 5.500, 0.000], [-2.559, 0.000, 8.920]], "species": ["Tb", "Tb", "Tb", "Tb", "Dy", "Dy", "Dy", "Dy", "Pd", "Pd", "Pd", "Pd", "Pd", "Pd", "Pd", "Pd", "Pd", "Pd", "Pd", "Pd"], "fractional_positions": [[0.232, 0.249, 0.058], [0.232, 0.251, 0.558], [0.768, 0.749, 0.442], [0.768, 0.751, 0.942], [0.323, 0.748, 0.831], [0.323, 0.752, 0.331], [0.677, 0.248, 0.669], [0.677, 0.252, 0.169], [0.001, 0.000, 0.750], [0.001, 0.500, 0.250], [0.115, 0.749, 0.029], [0.115, 0.751, 0.529], [0.471, 0.246, 0.867], [0.471, 0.254, 0.367], [0.529, 0.746, 0.633], [0.529, 0.754, 0.133], [0.885, 0.249, 0.471], [0.885, 0.251, 0.971], [0.999, 0.000, 0.250], [0.999, 0.500, 0.750]]}

{"formula": "TbDyPd", "functional": "PBE", "state": "optimized geometry", "n_ef_per_ev_cell": 14.75, "volume_a3_per_atom": 27.0, "relative_energy_ev_per_atom": 0.000, "formation_enthalpy_0k_ev_per_atom": -0.572, "lattice": [[6.419, 0.000, 0.000], [0.000, 7.262, 0.000], [-0.398, 0.000, 6.954]], "species": ["Tb", "Tb", "Tb", "Tb", "Dy", "Dy", "Dy", "Dy", "Pd", "Pd", "Pd", "Pd"], "fractional_positions": [[0.104, 0.106, 0.261], [0.104, 0.394, 0.761], [0.896, 0.606, 0.239], [0.896, 0.894, 0.739], [0.422, 0.744, 0.498], [0.422, 0.756, 0.998], [0.578, 0.244, 0.002], [0.578, 0.256, 0.502], [0.300, 0.047, 0.725], [0.300, 0.453, 0.225], [0.700, 0.547, 0.775], [0.700, 0.953, 0.275]]}

{"formula": "TbDyPd", "functional": "PBE", "state": "optimized geometry", "n_ef_per_ev_cell": 11.23, "volume_a3_per_atom": 25.7, "relative_energy_ev_per_atom": 0.012, "formation_enthalpy_0k_ev_per_atom": -0.560, "lattice": [[7.413, 0.000, 0.000], [-3.706, 6.420, 0.000], [0.000, 0.000, 4.854]], "species": ["Tb", "Tb", "Tb", "Dy", "Dy", "Dy", "Pd", "Pd", "Pd"], "fractional_positions": [[0.000, 0.736, 0.000], [0.264, 0.264, 0.000], [0.736, 0.000, 0.000], [0.000, 0.405, 0.500], [0.405, 0.000, 0.500], [0.595, 0.595, 0.500], [0.000, 0.000, 0.500], [0.333, 0.667, 0.000], [0.667, 0.333, 0.000]]}

{"formula": "Tb3Dy3Pd2", "functional": "PBE", "state": "optimized geometry", "n_ef_per_ev_cell": 17.59, "volume_a3_per_atom": 28.1, "formation_enthalpy_0k_ev_per_atom": -0.370, "lattice": [[1.893, -6.537, 0.000], [1.893, 6.537, 0.000], [0.000, 0.000, 18.151]], "species": ["Tb", "Tb", "Tb", "Tb", "Tb", "Tb", "Dy", "Dy", "Dy", "Dy", "Dy", "Dy", "Pd", "Pd", "Pd", "Pd"], "fractional_positions": [[0.052, 0.948, 0.595], [0.052, 0.948, 0.905], [0.322, 0.678, 0.750], [0.678, 0.322, 0.250], [0.948, 0.052, 0.095], [0.948, 0.052, 0.405], [0.337, 0.663, 0.550], [0.337, 0.663, 0.950], [0.411, 0.589, 0.250], [0.589, 0.411, 0.750], [0.663, 0.337, 0.050], [0.663, 0.337, 0.450], [0.272, 0.728, 0.133], [0.272, 0.728, 0.367], [0.728, 0.272, 0.633], [0.728, 0.272, 0.867]]}

{"formula": "Tb2DyPd", "functional": "PBE", "state": "optimized geometry", "n_ef_per_ev_cell": 3.75, "volume_a3_per_atom": 28.4, "relative_energy_ev_per_atom": 0.178, "formation_enthalpy_0k_ev_per_atom": -0.289, "lattice": [[1.831, 1.057, 9.793], [-1.831, 1.057, 9.793], [0.000, -2.115, 9.793]], "species": ["Tb", "Tb", "Dy", "Pd"], "fractional_positions": [[0.233, 0.233, 0.233], [0.767, 0.767, 0.767], [0.000, 0.000, 0.000], [0.500, 0.500, 0.500]]}

{"formula": "Tb2DyPd8", "functional": "PBE", "state": "optimized geometry", "n_ef_per_ev_cell": 5.01, "volume_a3_per_atom": 18.3, "formation_enthalpy_0k_ev_per_atom": -0.755, "lattice": [[7.426, -2.107, 0.000], [7.426, 2.107, 0.000], [-2.157, 0.000, 6.432]], "species": ["Tb", "Tb", "Dy", "Pd", "Pd", "Pd", "Pd", "Pd", "Pd", "Pd", "Pd"], "fractional_positions": [[0.217, 0.217, 0.166], [0.783, 0.783, 0.834], [0.500, 0.500, 0.500], [0.037, 0.037, 0.218], [0.141, 0.141, 0.678], [0.323, 0.323, 0.594], [0.409, 0.409, 0.050], [0.591, 0.591, 0.950], [0.677, 0.677, 0.406], [0.859, 0.859, 0.322], [0.963, 0.963, 0.782]]}

{"formula": "TbDyPd", "functional": "PBE", "state": "optimized geometry", "n_ef_per_ev_cell": 3.06, "volume_a3_per_atom": 27.7, "relative_energy_ev_per_atom": 0.104, "formation_enthalpy_0k_ev_per_atom": -0.468, "lattice": [[0.000, 3.462, 3.462], [3.462, 0.000, 3.462], [3.462, 3.462, 0.000]], "species": ["Tb", "Dy", "Pd"], "fractional_positions": [[0.000, 0.000, 0.000], [0.500, 0.500, 0.500], [0.750, 0.750, 0.750]]}

{"formula": "Tb3Dy4Pd4", "functional": "PBE", "state": "optimized geometry", "n_ef_per_ev_cell": 12.70, "volume_a3_per_atom": 25.2, "formation_enthalpy_0k_ev_per_atom": -0.562, "lattice": [[-2.321, 3.864, 7.727], [2.321, -3.864, 7.727], [2.321, 3.864, -7.727]], "species": ["Tb", "Tb", "Tb", "Dy", "Dy", "Dy", "Dy", "Pd", "Pd", "Pd", "Pd"], "fractional_positions": [[0.000, 0.000, 0.000], [0.397, 0.897, 0.500], [0.603, 0.103, 0.500], [0.042, 0.329, 0.713], [0.383, 0.671, 0.713], [0.617, 0.329, 0.287], [0.958, 0.671, 0.287], [0.208, 0.208, 0.000], [0.320, 0.500, 0.820], [0.680, 0.500, 0.180], [0.792, 0.792, 0.000]]}

{"formula": "TbDy2Pd", "functional": "PBE", "state": "optimized geometry", "n_ef_per_ev_cell": 18.42, "volume_a3_per_atom": 27.6, "relative_energy_ev_per_atom": 0.000, "formation_enthalpy_0k_ev_per_atom": -0.471, "lattice": [[7.034, 0.000, 0.000], [0.000, 9.704, 0.000], [0.000, 0.000, 6.469]], "species": ["Tb", "Tb", "Tb", "Tb", "Dy", "Dy", "Dy", "Dy", "Dy", "Dy", "Dy", "Dy", "Pd", "Pd", "Pd", "Pd"], "fractional_positions": [[0.023, 0.250, 0.133], [0.477, 0.750, 0.633], [0.523, 0.250, 0.367], [0.977, 0.750, 0.867], [0.181, 0.059, 0.674], [0.181, 0.441, 0.674], [0.319, 0.559, 0.174], [0.319, 0.941, 0.174], [0.681, 0.059, 0.826], [0.681, 0.441, 0.826], [0.819, 0.559, 0.326], [0.819, 0.941, 0.326], [0.111, 0.750, 0.439], [0.389, 0.250, 0.939], [0.611, 0.750, 0.061], [0.889, 0.250, 0.561]]}

{"formula": "Tb2DyPd", "functional": "PBE", "state": "optimized geometry", "n_ef_per_ev_cell": 17.69, "volume_a3_per_atom": 27.7, "relative_energy_ev_per_atom": 0.000, "formation_enthalpy_0k_ev_per_atom": -0.467, "lattice": [[7.037, 0.000, 0.000], [0.000, 9.748, 0.000], [0.000, 0.000, 6.468]], "species": ["Tb", "Tb", "Tb", "Tb", "Tb", "Tb", "Tb", "Tb", "Dy", "Dy", "Dy", "Dy", "Pd", "Pd", "Pd", "Pd"], "fractional_positions": [[0.182, 0.059, 0.175], [0.182, 0.441, 0.175], [0.318, 0.559, 0.675], [0.318, 0.941, 0.675], [0.682, 0.059, 0.325], [0.682, 0.441, 0.325], [0.818, 0.559, 0.825], [0.818, 0.941, 0.825], [0.024, 0.250, 0.634], [0.476, 0.750, 0.134], [0.524, 0.250, 0.866], [0.976, 0.750, 0.366], [0.111, 0.750, 0.942], [0.389, 0.250, 0.442], [0.611, 0.750, 0.558], [0.889, 0.250, 0.058]]}

{"formula": "TbDy2Pd", "functional": "PBE", "state": "optimized geometry", "n_ef_per_ev_cell": 6.65, "volume_a3_per_atom": 25.8, "relative_energy_ev_per_atom": 0.373, "formation_enthalpy_0k_ev_per_atom": -0.098, "lattice": [[0.000, 3.722, 3.722], [3.722, 0.000, 3.722], [3.722, 3.722, 0.000]], "species": ["Tb", "Dy", "Dy", "Pd"], "fractional_positions": [[0.000, 0.000, 0.000], [0.250, 0.250, 0.250], [0.750, 0.750, 0.750], [0.500, 0.500, 0.500]]}